The following is a GGA+U calculation of a relaxed structure of HWF6, from the Alexandria database.

Results
E_tot: -5.075 eV/atom
Theoretical density: 4568 kg/m3
N(E_F): 0.000 states/eV per cell
M_tot: 1.0 μB per cell
SG: P-1 (2)

Cell: 5.172 5.144 6.960 Å, 53.67 47.11 62.03°
Site moments in Bohr magnetons follow the coordinates.
Positions (direct):
H1 0.500 0.500 0.500  0.00
W1 0.000 0.000 0.000  0.98
F1 0.218 0.427 0.696  0.01
F2 0.857 0.064 0.786  0.00
F3 0.570 0.231 0.215  0.03
F4 0.143 0.936 0.214  0.00
F5 0.782 0.573 0.304  0.01
F6 0.430 0.769 0.785  0.03